1.
A relaxed structure of TlRhS. Source: Alexandria via LeMat-Bulk, functional PBE-GGA.

Results
V = 259.66 Å³ per cell
crystal system = orthorhombic

Unit cell a=11.120 b=3.618 c=6.453 alpha=90.00 beta=90.00 gamma=90.00
Space group Pnma (No. 62)
Inequivalent atoms, fractional coordinates:
1 Tl 0.232 0.250 0.049 [4 per cell]
2 Rh 0.082 0.250 0.400 [4 per cell]
3 S 0.020 0.250 0.745 [4 per cell]

=====

2.
A relaxed structure of TlRhS. Source: Alexandria via LeMat-Bulk, functional PBE-GGA.

Results
V = 65.59 Å³ per cell
crystal system = trigonal

Unit cell a=3.4276 b=3.4276 c=6.4466 alpha=90.00 beta=90.00 gamma=120.00
Space group P3m1 (No. 156)
Inequivalent atoms, fractional coordinates:
1 Tl 0.0000 0.0000 0.0000 [1 per cell]
2 Rh 0.6667 0.3333 0.3899 [1 per cell]
3 S 0.3333 0.6667 0.5553 [1 per cell]

=====

Most stable one: 1, least stable one: 2.

=====

1.
A relaxed structure of Tl2RhS2. Source: Alexandria via LeMat-Bulk, functional PBE-GGA.

Results
V = 218.62 Å³ per cell
crystal system = tetragonal

Unit cell a=6.136 b=6.136 c=5.807 alpha=90.00 beta=90.00 gamma=90.00
Space group P4/mbm (No. 127)
Inequivalent atoms, fractional coordinates:
1 Tl 0.194 0.306 0.000 [4 per cell]
2 Rh 0.000 0.000 0.500 [2 per cell]
3 S 0.132 0.632 0.500 [4 per cell]

=====

2.
A relaxed structure of Tl2RhS2. Source: Alexandria via LeMat-Bulk, functional PBE-GGA.

Results
V = 354.20 Å³ per cell
crystal system = trigonal

Unit cell a=3.5851 b=3.5851 c=31.8199 alpha=90.00 beta=90.00 gamma=120.00
Space group R-3m (No. 166, hexagonal axes)
Inequivalent atoms, fractional coordinates:
1 Tl 0.0000 0.0000 0.0515 [6 per cell]
2 Rh 0.0000 0.0000 0.5000 [3 per cell]
3 S 0.0000 0.0000 0.2048 [6 per cell]

=====

Most stable one: 2, least stable one: 1.

=====

1.
A relaxed structure of Tl2RhS. Source: Alexandria via LeMat-Bulk, functional PBE-GGA.

Results
V = 342.04 Å³ per cell
crystal system = cubic

Unit cell a=6.993 b=6.993 c=6.993 alpha=90.00 beta=90.00 gamma=90.00
Space group Fm-3m (No. 225)
Inequivalent atoms, fractional coordinates:
1 Tl 0.250 0.250 0.250 [8 per cell]
2 Rh 0.000 0.000 0.000 [4 per cell]
3 S 0.000 0.000 0.500 [4 per cell]

=====

2.
A relaxed structure of Tl2RhS. Source: Alexandria via LeMat-Bulk, functional PBE-GGA.

Results
V = 355.99 Å³ per cell
crystal system = tetragonal

Unit cell a=7.647 b=7.647 c=6.087 alpha=90.00 beta=90.00 gamma=90.00
Space group I-42d (No. 122)
Inequivalent atoms, fractional coordinates:
1 Tl 0.241 0.750 0.125 [8 per cell]
2 Rh 0.000 0.000 0.000 [4 per cell]
3 S 0.000 0.000 0.500 [4 per cell]

=====

Most stable one: 2, least stable one: 1.

=====

1.
A relaxed structure of Tm2RhS. Source: Alexandria via LeMat-Bulk, functional PBE-GGA.

Results
V = 271.37 Å³ per cell
crystal system = trigonal

Unit cell a=3.5166 b=3.5166 c=25.3390 alpha=90.00 beta=90.00 gamma=120.00
Space group R-3m (No. 166, hexagonal axes)
Inequivalent atoms, fractional coordinates:
1 Tm 0.0000 0.0000 0.0982 [6 per cell]
2 Rh 0.0000 0.0000 0.0000 [3 per cell]
3 S 0.0000 0.0000 0.5000 [3 per cell]

=====

2.
A relaxed structure of Tm2RhS. Source: Alexandria via LeMat-Bulk, functional PBE-GGA.

Results
V = 256.78 Å³ per cell
crystal system = trigonal

Unit cell a=3.7092 b=3.7092 c=21.5527 alpha=90.00 beta=90.00 gamma=120.00
Space group R3m (No. 160, hexagonal axes)
Inequivalent atoms, fractional coordinates:
1 Tm 0.0000 0.0000 0.0000 [3 per cell]
2 Tm 0.0000 0.0000 0.1669 [3 per cell]
3 Rh 0.0000 0.0000 0.7499 [3 per cell]
4 S 0.0000 0.0000 0.5825 [3 per cell]

=====

Most stable one: 2, least stable one: 1.

=====

1.
A relaxed structure of URhS. Source: Alexandria via LeMat-Bulk, functional PBE-GGA.

Results
V = 217.55 Å³ per cell
crystal system = orthorhombic

Unit cell a=4.917 b=8.279 c=5.344 alpha=90.00 beta=90.00 gamma=90.00
Space group Cmcm (No. 63)
Inequivalent atoms, fractional coordinates:
1 U 0.000 0.188 0.250 [4 per cell]
2 Rh 0.000 0.450 0.750 [4 per cell]
3 S 0.000 0.146 0.750 [4 per cell]

=====

2.
A relaxed structure of URhS. Source: Alexandria via LeMat-Bulk, functional PBE-GGA.

Results
V = 53.54 Å³ per cell
crystal system = hexagonal

Unit cell a=4.1602 b=4.1602 c=3.5723 alpha=90.00 beta=90.00 gamma=120.00
Space group P-6m2 (No. 187)
Inequivalent atoms, fractional coordinates:
1 U 0.0000 0.0000 0.0000 [1 per cell]
2 Rh 0.3333 0.6667 0.5000 [1 per cell]
3 S 0.6667 0.3333 0.5000 [1 per cell]

=====

Most stable one: 1, least stable one: 2.

=====

1.
A relaxed structure of URhS4. Source: Alexandria via LeMat-Bulk, functional PBE-GGA.

Results
V = 141.86 Å³ per cell
crystal system = monoclinic

Unit cell a=5.759 b=3.775 c=6.785 alpha=90.00 beta=105.91 gamma=90.00
Space group P2/m (No. 10)
Inequivalent atoms, fractional coordinates:
1 U 0.000 0.000 0.000 [1 per cell]
2 Rh 0.500 0.500 0.000 [1 per cell]
3 S 0.244 0.500 0.233 [2 per cell]
4 S 0.304 0.000 0.787 [2 per cell]

=====

2.
A relaxed structure of URhS4. Source: Alexandria via LeMat-Bulk, functional PBE-GGA.

Results
V = 236.41 Å³ per cell
crystal system = monoclinic

Unit cell a=6.398 b=6.067 c=6.159 alpha=90.00 beta=98.54 gamma=90.00
Space group P2_1/c (No. 14)
Inequivalent atoms, fractional coordinates:
1 U 0.000 0.000 0.000 [2 per cell]
2 Rh 0.500 0.000 0.500 [2 per cell]
3 S 0.190 0.172 0.369 [4 per cell]
4 S 0.316 0.709 0.261 [4 per cell]

=====

Most stable one: 1, least stable one: 2.

=====

1.
A relaxed structure of RhW2S2. Source: Alexandria via LeMat-Bulk, functional PBE-GGA.

Results
V = 154.62 Å³ per cell
crystal system = tetragonal

Unit cell a=4.250 b=4.250 c=8.560 alpha=90.00 beta=90.00 gamma=90.00
Space group I4/mmm (No. 139)
Inequivalent atoms, fractional coordinates:
1 Rh 0.000 0.000 0.000 [2 per cell]
2 W 0.000 0.500 0.250 [4 per cell]
3 S 0.000 0.000 0.368 [4 per cell]

=====

2.
A relaxed structure of RhW2S2. Source: Alexandria via LeMat-Bulk, functional PBE-GGA.

Results
V = 141.54 Å³ per cell
crystal system = tetragonal

Unit cell a=6.980 b=6.980 c=2.905 alpha=90.00 beta=90.00 gamma=90.00
Space group P4/mbm (No. 127)
Inequivalent atoms, fractional coordinates:
1 Rh 0.000 0.000 0.000 [2 per cell]
2 W 0.154 0.346 0.500 [4 per cell]
3 S 0.147 0.647 0.000 [4 per cell]

=====

Most stable one: 1, least stable one: 2.

=====

1.
A relaxed structure of ZnRh3S. Source: Alexandria via LeMat-Bulk, functional PBE-GGA.

Results
V = 82.55 Å³ per cell
crystal system = cubic

Unit cell a=4.354 b=4.354 c=4.354 alpha=90.00 beta=90.00 gamma=90.00
Space group Pm-3m (No. 221)
Inequivalent atoms, fractional coordinates:
1 Zn 0.000 0.000 0.000 [1 per cell]
2 Rh 0.000 0.500 0.500 [3 per cell]
3 S 0.500 0.500 0.500 [1 per cell]

=====

2.
A relaxed structure of ZnRh3S. Source: Alexandria via LeMat-Bulk, functional PBE-GGA.

Results
V = 95.39 Å³ per cell
crystal system = cubic

Unit cell a=4.569 b=4.569 c=4.569 alpha=90.00 beta=90.00 gamma=90.00
Space group Pm-3m (No. 221)
Inequivalent atoms, fractional coordinates:
1 Zn 0.000 0.000 0.000 [1 per cell]
2 Rh 0.000 0.000 0.500 [3 per cell]
3 S 0.500 0.500 0.500 [1 per cell]

=====

Most stable one: 1, least stable one: 2.